Record 1
An optimized crystal structure of CaAgBr2, computed with GGA-PBE.

Properties
The formation energy without anion corrections is -961.7 meV/atom. Its raw total energy is -3.0113 eV/atom. As for the space group: P2/m (10).

The structure in POSCAR format:
```
CaAgBr2
1.0
3.5557 0.0000 0.0000
0.0000 3.5549 0.0000
-0.8225 0.0000 10.7942
Ca Ag Br
1 1 2
direct
0.0000 0.0000 0.0000
0.5000 0.0000 0.5000
0.4630 0.5000 0.8417
0.5370 0.5000 0.1583
```

Record 2
An optimized crystal structure of MoRuRh3, computed with GGA-PBE.

Properties
Its raw total energy is -6.9221 eV/atom. As for the space group: Pm-3m (221). The formation energy is 7.55 eV/f.u.

The structure in POSCAR format:
```
MoRuRh3
1.0
4.6262 0.0000 0.0000
0.0000 4.6262 0.0000
0.0000 0.0000 4.6262
Mo Ru Rh
1 1 3
direct
0.0000 0.0000 0.0000
0.5000 0.5000 0.5000
0.0000 0.0000 0.5000
0.0000 0.5000 0.0000
0.5000 0.0000 0.0000
```

Record 3
An optimized crystal structure of TaSbCl2, computed with GGA-PBE.

Properties
The formation energy without anion corrections is -386.8 meV/atom. Its raw total energy is -5.3038 eV/atom. As for the space group: Immm (71).

The structure in POSCAR format:
```
TaSbCl2
1.0
-1.5079 2.6818 6.8578
1.5079 -2.6818 6.8578
1.5079 2.6818 -6.8578
Ta Sb Cl
1 1 2
direct
0.0000 0.0000 0.0000
0.5000 0.5000 0.0000
0.1476 0.6476 0.5000
0.8524 0.3524 0.5000
```

Record 4
An optimized crystal structure of Tl2AgSe2O6, computed with GGA-PBE.

Properties
The formation energy without anion corrections is -616.4 meV/atom. Its raw total energy is -4.6438 eV/atom. As for the space group: R-3m (166).

The structure in POSCAR format:
```
Tl2AgSe2O6
1.0
3.0583 1.7657 7.5149
-3.0583 1.7657 7.5149
0.0000 -3.5314 7.5149
Tl Ag Se O
2 1 2 6
direct
0.2286 0.2286 0.2286
0.7714 0.7714 0.7714
0.5000 0.5000 0.5000
0.0759 0.0759 0.0759
0.9241 0.9241 0.9241
0.1955 0.7452 0.7452
0.2548 0.2548 0.8045
0.2548 0.8045 0.2548
0.7452 0.1955 0.7452
0.7452 0.7452 0.1955
0.8045 0.2548 0.2548
```

Record 5
An optimized crystal structure of BaYGa, computed with GGA-PBE.

Properties
Its raw total energy is -3.8752 eV/atom. As for the space group: Pnma (62). The formation energy is -0.21 eV/f.u.

The structure in POSCAR format:
```
BaYGa
1.0
7.9654 0.0000 0.0000
0.0000 4.7417 0.0000
0.0000 0.0000 9.9712
Ba Y Ga
4 4 4
direct
0.1370 0.2500 0.0556
0.3630 0.7500 0.5556
0.6370 0.2500 0.4444
0.8630 0.7500 0.9444
0.0896 0.2500 0.3845
0.4104 0.7500 0.8845
0.5896 0.2500 0.1155
0.9104 0.7500 0.6155
0.1200 0.2500 0.7078
0.3800 0.7500 0.2078
0.6200 0.2500 0.7922
0.8800 0.7500 0.2922
```

Record 6
An optimized crystal structure of BaHfVIr2, computed with GGA-PBE.

Properties
Its raw total energy is -6.9122 eV/atom. As for the space group: P4/mmm (123). The formation energy is 4.16 eV/f.u.

The structure in POSCAR format:
```
BaHfVIr2
1.0
5.0340 0.0000 0.0000
0.0000 5.0340 0.0000
0.0000 0.0000 4.8548
Ba Hf V Ir
1 1 1 2
direct
0.0000 0.0000 0.0000
0.5000 0.5000 0.5000
0.5000 0.5000 0.0000
0.0000 0.5000 0.5000
0.5000 0.0000 0.5000
```

Repeat the fourth record exactly.
An optimized crystal structure of Tl2AgSe2O6, computed with GGA-PBE.

Properties
The formation energy without anion corrections is -616.4 meV/atom. Its raw total energy is -4.6438 eV/atom. As for the space group: R-3m (166).

The structure in POSCAR format:
```
Tl2AgSe2O6
1.0
3.0583 1.7657 7.5149
-3.0583 1.7657 7.5149
0.0000 -3.5314 7.5149
Tl Ag Se O
2 1 2 6
direct
0.2286 0.2286 0.2286
0.7714 0.7714 0.7714
0.5000 0.5000 0.5000
0.0759 0.0759 0.0759
0.9241 0.9241 0.9241
0.1955 0.7452 0.7452
0.2548 0.2548 0.8045
0.2548 0.8045 0.2548
0.7452 0.1955 0.7452
0.7452 0.7452 0.1955
0.8045 0.2548 0.2548
```